Below is a geometry-optimized La2PuGe3Au12 structure, with properties calculated at the PBE level.

Unit cell a=8.019 b=8.019 c=8.019 alpha=70.75 beta=70.75 gamma=70.75
Site moments in Bohr magnetons follow the coordinates.
Fractional coordinates of all 18 atoms:
Ge: 0.500 0.000 0.000  0.00
Au: 0.613 0.158 0.158  0.01
Au: 0.693 0.693 0.168  0.01
Au: 0.842 0.842 0.387  0.01
Au: 0.307 0.832 0.307  0.01
Au: 0.168 0.693 0.693  0.01
Au: 0.307 0.307 0.832  0.01
Ge: 0.000 0.000 0.500  0.00
La: 0.400 0.400 0.400  0.03
Au: 0.158 0.158 0.613  0.01
Ge: 0.000 0.500 0.000  0.00
Au: 0.832 0.307 0.307  0.01
La: 0.600 0.600 0.600  0.03
Au: 0.158 0.613 0.158  0.01
Pu: 0.000 0.000 0.000  5.38
Au: 0.693 0.168 0.693  0.01
Au: 0.387 0.842 0.842  0.01
Au: 0.842 0.387 0.842  0.01

Calculated values
magnetic moment = 5.9 μB/f.u.
E = -4.427 eV/atom

***

Below is a geometry-optimized La2Ge4RhAu3 structure, with properties calculated at the PBE level.

Unit cell a=4.419 b=4.419 c=10.727 alpha=90.00 beta=90.00 gamma=90.00
Fractional coordinates of all 10 atoms:
Au: 0.000 0.500 0.139
La: 0.500 0.000 0.260
Ge: 0.000 0.000 0.000
La: 0.000 0.500 0.740
Rh: 0.500 0.500 0.500
Ge: 0.500 0.500 0.000
Au: 0.500 0.000 0.861
Au: 0.000 0.000 0.500
Ge: 0.500 0.000 0.624
Ge: 0.000 0.500 0.376

Calculated values
magnetic moment = 0.0 μB/f.u.
E = -5.192 eV/atom

***

Below is a geometry-optimized La2GeRhAu structure, with properties calculated at the PBE level.

Unit cell a=4.513 b=7.367 c=7.941 alpha=110.82 beta=90.00 gamma=90.00
Fractional coordinates of all 10 atoms:
Au: 0.250 0.680 0.331
La: 0.750 0.722 0.057
La: 0.750 0.843 0.633
Au: 0.750 0.320 0.669
Ge: 0.750 0.450 0.305
La: 0.250 0.157 0.367
Rh: 0.250 0.884 0.911
Ge: 0.250 0.550 0.695
Rh: 0.750 0.116 0.089
La: 0.250 0.278 0.943

Calculated values
magnetic moment = 0.0 μB/f.u.
E = -5.784 eV/atom

***

Calculated formation energy readings, ordered: -128.8, -641.6, -764.1 meV per atom